one) The following is a DFT calculation (PBE) of AcHgI after structural relaxation.

Computed properties:
* spin magnetization: 0.000 μB per cell

Cell lengths 4.8615, 4.8615, 12.1591 Å; angles 89.76, 89.76, 60.02 degrees
Last column: nearest neighbours and their distance in Å.
Fractional positions:
Ac: 0.9989 0.9989 0.6735  6 Hg 3.38-3.65, 3 I 3.49
Ac: 0.0011 0.0011 0.3265  6 Hg 3.38-3.65, 3 I 3.49
Hg: 0.6666 0.6666 0.5181  3 Hg 2.84
Hg: 0.3334 0.3334 0.4819  3 Hg 2.84
I: 0.6689 0.6689 0.1558  3 Ac 3.49
I: 0.3311 0.3311 0.8442  3 Ac 3.49

---

two) The following is a DFT calculation (PBE) of AcHgI after structural relaxation.

Computed properties:
* spin magnetization: 0.137 μB per cell

Cell lengths 4.0861, 5.6437, 5.6437 Å; angles 120.00, 90.00, 90.00 degrees
Last column: nearest neighbours and their distance in Å.
Fractional positions:
I: 0.2145 0.3333 0.6667  3 Ac 3.28
Ac: 0.1221 0.0000 0.0000  3 I 3.28
Hg: 0.6633 0.6667 0.3333  6 I 3.74-3.96, 6 Ac 3.76-3.94, 2 Hg 4.09

---

three) The following is a DFT calculation (PBE) of AcHgI after structural relaxation.

Computed properties:
* spin magnetization: 0.000 μB per cell

Cell lengths 4.1594, 4.1594, 7.0029 Å; angles 107.28, 107.28, 90.00 degrees
Last column: nearest neighbours and their distance in Å.
Fractional positions:
I: 0.2666 0.2666 0.5331  4 Ac 3.55, 5 Hg 3.72-3.95
Ac: 0.6099 0.6099 0.2199  4 Hg 3.41, 4 I 3.55
Hg: 0.9735 0.9735 0.9470  4 Ac 3.41, 1 I 3.72

---

Order from most stable to least stable according to the calculation: one), three), two)